Density functional theory data (PBEsol) for a relaxed structure of YBeSe2.

Summary:
The value obtained for the size of the total moment is 0.000 μB/atom. The value obtained for the uncorrected formation energy is -0.925 eV per atom. For the calculated volume, the calculation gives 87 Å³ per cell. The space group is C2/m.

```
4
Lattice="-0.713 3.190 -2.263 -0.426 -3.710 -1.603 -5.861 0.128 2.027" Properties=species:S:1:pos:R:3 pbc="T T T"
Y -0.356 1.595 -1.131
Be -2.930 0.064 1.014
Se -5.149 0.383 -1.330
Se -1.851 -0.774 -0.509
```

Density functional theory data (PBEsol) for a relaxed structure of BeZn2Se.

Summary:
The value obtained for the size of the total moment is 0.000 μB/atom. The value obtained for the uncorrected formation energy is 0.368 eV per atom. For the calculated volume, the calculation gives 60 Å³ per cell. The space group is I-4m2.

```
4
Lattice="3.903 0.000 0.000 0.000 3.903 0.000 -1.952 -1.952 3.922" Properties=species:S:1:pos:R:3 pbc="T T T"
Be 1.952 1.952 0.000
Zn 0.000 0.000 0.000
Zn 1.952 0.000 1.961
Se 0.000 1.952 1.961
```

Density functional theory data (PBEsol) for a relaxed structure of BeZn2Se.

Summary:
The value obtained for the size of the total moment is 0.000 μB/atom. The value obtained for the uncorrected formation energy is 0.113 eV per atom. For the calculated volume, the calculation gives 66 Å³ per cell. The space group is P4mm.

```
4
Lattice="3.287 0.000 0.000 0.000 3.287 0.000 0.000 0.000 6.098" Properties=species:S:1:pos:R:3 pbc="T T T"
Be 0.000 0.000 3.872
Zn 0.000 0.000 0.225
Zn 1.644 1.644 1.274
Se 1.644 1.644 3.776
```

Density functional theory data (PBEsol) for a relaxed structure of BeZnSe3.

Summary:
The value obtained for the size of the total moment is 0.000 μB/atom. The value obtained for the uncorrected formation energy is 0.826 eV per atom. For the calculated volume, the calculation gives 110 Å³ per cell. The space group is Pm-3m.

```
5
Lattice="4.790 0.000 0.000 0.000 4.790 0.000 0.000 0.000 4.790" Properties=species:S:1:pos:R:3 pbc="T T T"
Be 2.395 2.395 2.395
Zn 0.000 0.000 0.000
Se 0.000 2.395 0.000
Se 0.000 0.000 2.395
Se 2.395 0.000 0.000
```

Density functional theory data (PBEsol) for a relaxed structure of BeZn2Se.

Summary:
The value obtained for the size of the total moment is 0.000 μB/atom. The value obtained for the uncorrected formation energy is 0.112 eV per atom. For the calculated volume, the calculation gives 62 Å³ per cell. The space group is Immm.

```
4
Lattice="-2.913 1.493 -0.082 -0.833 -1.775 -2.709 -0.279 -3.876 4.689" Properties=species:S:1:pos:R:3 pbc="T T T"
Be -1.457 0.747 -0.041
Zn -3.164 -2.550 0.580
Zn -0.861 -1.608 1.318
Se -0.417 -0.887 -1.355
```

Density functional theory data (PBEsol) for a relaxed structure of BeZn2Se.

Summary:
The value obtained for the size of the total moment is 0.000 μB/atom. The value obtained for the uncorrected formation energy is 0.265 eV per atom. For the calculated volume, the calculation gives 64 Å³ per cell. The space group is Cmm2.

```
4
Lattice="-1.854 2.267 0.604 0.440 -1.653 2.452 5.917 4.341 1.865" Properties=species:S:1:pos:R:3 pbc="T T T"
Be 2.911 2.136 0.918
Zn 5.787 4.246 1.824
Zn 3.563 3.439 2.874
Se 1.117 1.645 2.103
```

Density functional theory data (PBEsol) for a relaxed structure of Zr2BeSe.

Summary:
The value obtained for the size of the total moment is 0.000 μB/atom. The value obtained for the uncorrected formation energy is -0.445 eV per atom. For the calculated volume, the calculation gives 68 Å³ per cell. The space group is Cmmm.

```
4
Lattice="3.211 0.000 0.000 0.000 4.650 0.011 0.000 -0.910 4.560" Properties=species:S:1:pos:R:3 pbc="T T T"
Be 1.606 0.000 0.000
Se 1.606 1.870 2.286
Zr 0.000 2.325 0.006
Zr 0.000 -0.455 2.280
```

Density functional theory data (PBEsol) for a relaxed structure of Zr2BeSe.

Summary:
The value obtained for the size of the total moment is 0.000 μB/atom. The value obtained for the uncorrected formation energy is -0.336 eV per atom. For the calculated volume, the calculation gives 69 Å³ per cell. The space group is Imm2.

```
4
Lattice="3.247 0.000 0.000 0.000 4.512 0.000 -1.623 -2.256 4.701" Properties=species:S:1:pos:R:3 pbc="T T T"
Be 1.623 2.256 0.257
Se 0.000 2.256 2.176
Zr 1.623 2.256 4.559
Zr 1.623 0.000 2.409
```

Density functional theory data (PBEsol) for a relaxed structure of ZrBe2Se.

Summary:
The value obtained for the size of the total moment is 0.000 μB/atom. The value obtained for the uncorrected formation energy is -0.204 eV per atom. For the calculated volume, the calculation gives 56 Å³ per cell. The space group is I-4m2.

```
4
Lattice="3.663 0.000 0.000 0.000 3.663 0.000 -1.831 -1.831 4.167" Properties=species:S:1:pos:R:3 pbc="T T T"
Be 0.000 0.000 0.000
Be 1.831 0.000 2.083
Se 1.831 1.831 0.000
Zr 0.000 1.831 2.083
```

Density functional theory data (PBEsol) for a relaxed structure of ZrBeSe2.

Summary:
The value obtained for the size of the total moment is 0.000 μB/atom. The value obtained for the uncorrected formation energy is -0.441 eV per atom. For the calculated volume, the calculation gives 67 Å³ per cell. The space group is P4/mmm.

```
4
Lattice="-0.757 0.832 -3.129 3.816 -1.879 -1.423 -2.124 -3.915 -0.527" Properties=species:S:1:pos:R:3 pbc="T T T"
Be -0.379 0.416 -1.565
Se -1.062 -1.957 -0.264
Se 1.908 -0.939 -0.711
Zr 0.467 -2.481 -2.540
```

Density functional theory data (PBEsol) for a relaxed structure of ZrBeSe2.

Summary:
The value obtained for the size of the total moment is 0.000 μB/atom. The value obtained for the uncorrected formation energy is -0.938 eV per atom. For the calculated volume, the calculation gives 69 Å³ per cell. The space group is Amm2.

```
4
Lattice="3.586 0.000 0.000 0.000 3.594 0.000 0.000 -1.797 5.345" Properties=species:S:1:pos:R:3 pbc="T T T"
Be 1.793 1.797 2.629
Se 1.793 1.797 4.887
Se 0.000 0.000 2.603
Zr 0.000 1.797 0.572
```

Density functional theory data (PBEsol) for a relaxed structure of Zr2BeSe.

Summary:
The value obtained for the size of the total moment is 0.000 μB/atom. The value obtained for the uncorrected formation energy is 0.273 eV per atom. For the calculated volume, the calculation gives 69 Å³ per cell. The space group is F-43m.

```
4
Lattice="4.606 0.000 0.000 2.303 3.989 0.000 2.303 1.330 3.761" Properties=species:S:1:pos:R:3 pbc="T T T"
Be 4.606 2.659 1.880
Se 2.303 1.330 0.940
Zr 0.000 0.000 0.000
Zr 6.909 3.989 2.821
```

Density functional theory data (PBEsol) for a relaxed structure of Zr4BeSe.

Summary:
The value obtained for the size of the total moment is 0.000 μB/atom. The value obtained for the uncorrected formation energy is 0.506 eV per atom. For the calculated volume, the calculation gives 123 Å³ per cell. The space group is F-43m.

```
6
Lattice="-0.968 -4.557 -3.063 -0.702 -4.937 2.493 -5.035 -2.393 0.077" Properties=species:S:1:pos:R:3 pbc="T T T"
Be -5.029 -8.915 -0.370
Se 0.000 0.000 0.000
Zr -2.528 -4.483 -0.186
Zr -5.003 -5.659 -0.148
Zr -3.004 -6.723 -1.692
Zr -2.874 -6.910 1.039
```

Density functional theory data (PBEsol) for a relaxed structure of ZrBeSe2.

Summary:
The value obtained for the size of the total moment is 0.000 μB/atom. The value obtained for the uncorrected formation energy is -0.338 eV per atom. For the calculated volume, the calculation gives 76 Å³ per cell. The space group is Cmmm.

```
4
Lattice="-0.086 3.329 -0.477 -2.966 -1.638 0.962 1.697 1.050 7.023" Properties=species:S:1:pos:R:3 pbc="T T T"
Be -0.043 1.665 -0.239
Se 1.334 0.825 5.520
Se 0.363 0.225 1.502
Zr 0.806 2.190 3.273
```

Density functional theory data (PBEsol) for a relaxed structure of BeSi.

Summary:
The value obtained for the size of the total moment is 0.000 μB/atom. The value obtained for the uncorrected formation energy is 0.387 eV per atom. For the calculated volume, the calculation gives 47 Å³ per cell. The space group is Cmme.

```
4
Lattice="2.442 0.000 0.000 -1.221 2.253 0.000 0.000 0.000 8.480" Properties=species:S:1:pos:R:3 pbc="T T T"
Be 1.221 1.127 7.571
Be 0.000 1.127 0.909
Si 1.221 1.127 2.959
Si 0.000 1.127 5.522
```

Density functional theory data (PBEsol) for a relaxed structure of Be3Si.

Summary:
The value obtained for the size of the total moment is 0.000 μB/atom. The value obtained for the uncorrected formation energy is 1.212 eV per atom. For the calculated volume, the calculation gives 72 Å³ per cell. The space group is Pm-3m.

```
4
Lattice="4.151 0.000 0.000 0.000 4.151 0.000 0.000 0.000 4.151" Properties=species:S:1:pos:R:3 pbc="T T T"
Be 2.075 0.000 0.000
Be 0.000 2.075 0.000
Be 0.000 0.000 2.075
Si 0.000 0.000 0.000
```

Density functional theory data (PBEsol) for a relaxed structure of Be3Si.

Summary:
The value obtained for the size of the total moment is 0.000 μB/atom. The value obtained for the uncorrected formation energy is 0.427 eV per atom. For the calculated volume, the calculation gives 39 Å³ per cell. The space group is R-3m.

```
4
Lattice="2.395 0.000 0.000 -0.798 4.364 0.000 -0.798 -2.182 3.779" Properties=species:S:1:pos:R:3 pbc="T T T"
Be -0.399 2.182 0.000
Be -0.399 -1.091 1.890
Be 0.399 1.091 1.890
Si 1.197 0.000 0.000
```

Density functional theory data (PBEsol) for a relaxed structure of Be4Si5.

Summary:
The value obtained for the size of the total moment is 0.000 μB/atom. The value obtained for the uncorrected formation energy is 0.340 eV per atom. For the calculated volume, the calculation gives 103 Å³ per cell. The space group is I4/mmm.

```
9
Lattice="-3.385 0.778 -0.716 -3.226 -4.314 1.778 -2.174 2.737 4.468" Properties=species:S:1:pos:R:3 pbc="T T T"
Be -2.851 -1.801 2.737
Be -2.549 0.224 3.509
Be -4.103 -0.061 1.765
Be -4.681 -0.737 3.764
Si 0.000 0.000 0.000
Si -3.700 2.315 2.442
Si -1.859 1.201 1.310
Si -4.388 -2.299 0.681
Si -2.222 -1.237 0.380
```

Density functional theory data (PBEsol) for a relaxed structure of BeSi.

Summary:
The value obtained for the size of the total moment is 0.000 μB/atom. The value obtained for the uncorrected formation energy is 0.308 eV per atom. For the calculated volume, the calculation gives 50 Å³ per cell. The space group is Cmcm.

```
4
Lattice="3.579 0.000 0.000 -1.789 3.582 0.000 0.000 0.000 3.916" Properties=species:S:1:pos:R:3 pbc="T T T"
Be 0.000 0.588 2.937
Be 1.789 2.994 0.979
Si 0.000 2.794 2.937
Si 1.789 0.788 0.979
```

Density functional theory data (PBEsol) for a relaxed structure of BeSi.

Summary:
The value obtained for the size of the total moment is 0.000 μB/atom. The value obtained for the uncorrected formation energy is 0.297 eV per atom. For the calculated volume, the calculation gives 73 Å³ per cell. The space group is Cm.

```
6
Lattice="-1.621 2.039 -0.057 -0.173 -1.702 3.576 5.778 4.631 1.392" Properties=species:S:1:pos:R:3 pbc="T T T"
Be 0.348 0.289 0.471
Be 3.665 3.034 4.344
Be 0.344 0.348 2.656
Si 0.912 2.429 1.407
Si 1.404 2.886 3.790
Si 3.989 4.919 3.018
```